<i>
# LaScMo2

Crystalline LaScMo2 at its relaxed geometry (PBEsol, Alexandria via LeMat-Bulk).

Unit cell a=4.740 b=4.740 c=3.389 alpha=90.00 beta=90.00 gamma=90.00
Element x y z (fractional)
La 0.000 0.000 0.000
Sc 0.500 0.500 0.000
Mo 0.000 0.500 0.500
Mo 0.500 0.000 0.500

Computed properties:
* space-group type: P4/mmm (123)
* D(E_F): 5.57 states/eV/f.u.

=====

<ii>
# LaScMo2

Crystalline LaScMo2 at its relaxed geometry (PBEsol, Alexandria via LeMat-Bulk).

Unit cell a=3.345 b=4.608 c=4.923 alpha=90.00 beta=90.00 gamma=90.00
Element x y z (fractional)
La 0.000 0.000 0.000
Sc 0.500 0.000 0.500
Mo 0.000 0.500 0.500
Mo 0.500 0.500 0.000

Computed properties:
* space-group type: Pmmm (47)
* D(E_F): 5.26 states/eV/f.u.

=====

Most stable pick: <ii>. Distance to second place: 15 meV per atom.

=====

<i>
# LaSc2Mo

Crystalline LaSc2Mo at its relaxed geometry (PBEsol, Alexandria via LeMat-Bulk).

Unit cell a=4.975 b=4.975 c=4.975 alpha=60.00 beta=60.00 gamma=60.00
Element x y z (fractional)
La 0.000 0.000 0.000
Sc 0.500 0.500 0.500
Sc 0.750 0.750 0.750
Mo 0.250 0.250 0.250

Computed properties:
* space-group type: F-43m (216)
* D(E_F): 6.07 states/eV/f.u.

=====

<ii>
# LaSc2Mo

Crystalline LaSc2Mo at its relaxed geometry (PBEsol, Alexandria via LeMat-Bulk).

Unit cell a=5.204 b=5.204 c=5.204 alpha=127.34 beta=127.34 gamma=77.70
Element x y z (fractional)
La 0.000 0.000 0.000
Sc 0.250 0.750 0.500
Sc 0.750 0.250 0.500
Mo 0.500 0.500 0.000

Computed properties:
* space-group type: I4/mmm (139)
* D(E_F): 5.36 states/eV/f.u.

=====

Most stable pick: <ii>. Distance to second place: 18 meV per atom.

=====

<i>
# LaTl2Mo

Crystalline LaTl2Mo at its relaxed geometry (PBEsol, Alexandria via LeMat-Bulk).

Unit cell a=10.500 b=10.500 c=10.500 alpha=17.49 beta=17.49 gamma=17.49
Element x y z (fractional)
La 0.000 0.000 0.000
Tl 0.241 0.241 0.241
Tl 0.759 0.759 0.759
Mo 0.500 0.500 0.500

Computed properties:
* space-group type: R-3m (166)
* D(E_F): 3.21 states/eV/f.u.

=====

<ii>
# LaTl2Mo

Crystalline LaTl2Mo at its relaxed geometry (PBEsol, Alexandria via LeMat-Bulk).

Unit cell a=5.133 b=5.133 c=5.133 alpha=60.00 beta=60.00 gamma=60.00
Element x y z (fractional)
La 0.000 0.000 0.000
Tl 0.250 0.250 0.250
Tl 0.750 0.750 0.750
Mo 0.500 0.500 0.500

Computed properties:
* space-group type: Fm-3m (225)
* D(E_F): 1.60 states/eV/f.u.

=====

Most stable pick: <ii>. Distance to second place: 41 meV per atom.

=====

<i>
# LaMoW2

Crystalline LaMoW2 at its relaxed geometry (PBEsol, Alexandria via LeMat-Bulk).

Unit cell a=5.613 b=5.613 c=5.613 alpha=147.24 beta=130.46 gamma=60.67
Element x y z (fractional)
La 0.000 0.000 0.000
Mo 0.500 0.500 0.000
W 0.259 0.759 0.500
W 0.741 0.241 0.500

Computed properties:
* space-group type: Immm (71)
* D(E_F): 3.46 states/eV/f.u.

=====

<ii>
# LaMoW2

Crystalline LaMoW2 at its relaxed geometry (PBEsol, Alexandria via LeMat-Bulk).

Unit cell a=4.654 b=4.654 c=4.654 alpha=60.00 beta=60.00 gamma=60.00
Element x y z (fractional)
La 0.000 0.000 0.000
Mo 0.750 0.750 0.750
W 0.250 0.250 0.250
W 0.500 0.500 0.500

Computed properties:
* space-group type: F-43m (216)
* D(E_F): 4.27 states/eV/f.u.

=====

Most stable pick: <ii>. Distance to second place: 91 meV per atom.

=====

<i>
# La2Nb2N2O5

Crystalline La2Nb2N2O5 at its relaxed geometry (PBEsol, Alexandria via LeMat-Bulk).

Unit cell a=13.160 b=13.160 c=5.696 alpha=90.00 beta=90.00 gamma=162.58
Element x y z (fractional)
La 0.051 0.949 0.500
La 0.201 0.799 0.067
La 0.799 0.201 0.567
La 0.949 0.051 0.000
Nb 0.336 0.664 0.020
Nb 0.439 0.561 0.491
Nb 0.561 0.439 0.991
Nb 0.664 0.336 0.520
N 0.048 0.952 0.951
N 0.152 0.848 0.469
N 0.848 0.152 0.969
N 0.952 0.048 0.451
O 0.278 0.722 0.804
O 0.297 0.703 0.299
O 0.375 0.625 0.648
O 0.411 0.589 0.155
O 0.484 0.516 0.772
O 0.516 0.484 0.272
O 0.589 0.411 0.655
O 0.625 0.375 0.148
O 0.703 0.297 0.799
O 0.722 0.278 0.304

Computed properties:
* space-group type: Cmc2_1 (36)
* D(E_F): 0.00 states/eV/f.u.

=====

<ii>
# La2Nb2N2O5

Crystalline La2Nb2N2O5 at its relaxed geometry (PBEsol, Alexandria via LeMat-Bulk).

Unit cell a=13.758 b=13.758 c=5.791 alpha=90.59 beta=90.59 gamma=16.57
Element x y z (fractional)
La 0.000 0.000 0.000
La 0.570 0.570 0.482
La 0.730 0.730 0.009
La 0.842 0.842 0.507
Nb 0.124 0.124 0.000
Nb 0.230 0.230 0.496
Nb 0.343 0.343 0.991
Nb 0.442 0.442 0.497
N 0.075 0.075 0.227
N 0.194 0.194 0.761
N 0.382 0.382 0.256
N 0.394 0.394 0.736
O 0.076 0.076 0.745
O 0.183 0.183 0.235
O 0.276 0.276 0.132
O 0.298 0.298 0.631
O 0.498 0.498 0.235
O 0.500 0.500 0.721
O 0.637 0.637 0.981
O 0.744 0.744 0.442
O 0.828 0.828 0.937
O 0.941 0.941 0.450

Computed properties:
* space-group type: Cm (8)

=====

Most stable pick: <i>. Distance to second place: 11 meV per atom.

=====

<i>
# LaTa2NO5

Crystalline LaTa2NO5 at its relaxed geometry (PBEsol, Alexandria via LeMat-Bulk).

Unit cell a=5.465 b=11.164 c=7.643 alpha=90.00 beta=90.10 gamma=90.00
Element x y z (fractional)
La 0.203 0.000 0.499
La 0.292 0.923 0.001
La 0.708 0.423 0.999
La 0.797 0.500 0.501
Ta 0.205 0.318 0.752
Ta 0.220 0.324 0.247
Ta 0.289 0.615 0.244
Ta 0.293 0.608 0.753
Ta 0.707 0.108 0.247
Ta 0.711 0.115 0.756
Ta 0.780 0.824 0.753
Ta 0.795 0.818 0.248
N 0.127 0.759 0.197
N 0.302 0.320 0.001
N 0.698 0.820 0.999
N 0.873 0.259 0.803
O 0.023 0.494 0.786
O 0.029 0.490 0.215
O 0.102 0.347 0.499
O 0.121 0.754 0.802
O 0.206 0.609 0.501
O 0.376 0.172 0.689
O 0.379 0.174 0.311
O 0.404 0.588 0.999
O 0.477 0.445 0.713
O 0.490 0.437 0.289
O 0.510 0.937 0.711
O 0.523 0.945 0.287
O 0.596 0.088 0.001
O 0.621 0.674 0.689
O 0.624 0.672 0.311
O 0.794 0.109 0.499
O 0.879 0.254 0.198
O 0.898 0.847 0.501
O 0.971 0.990 0.785
O 0.977 0.994 0.214

Computed properties:
* space-group type: P2_1 (4)
* D(E_F): 0.00 states/eV/f.u.

=====

<ii>
# LaTa2NO5

Crystalline LaTa2NO5 at its relaxed geometry (PBEsol, Alexandria via LeMat-Bulk).

Unit cell a=5.463 b=7.654 c=11.146 alpha=90.02 beta=90.06 gamma=90.01
Element x y z (fractional)
La 0.000 0.000 0.000
La 0.090 0.506 0.076
La 0.494 0.505 0.580
La 0.593 0.000 0.503
Ta 0.006 0.256 0.684
Ta 0.007 0.752 0.682
Ta 0.078 0.247 0.398
Ta 0.079 0.747 0.391
Ta 0.504 0.755 0.896
Ta 0.506 0.250 0.896
Ta 0.586 0.249 0.184
Ta 0.595 0.753 0.187
N 0.002 0.004 0.394
N 0.089 0.503 0.688
N 0.594 0.004 0.895
N 0.918 0.692 0.244
O 0.167 0.812 0.832
O 0.169 0.195 0.833
O 0.204 0.503 0.420
O 0.271 0.216 0.565
O 0.278 0.791 0.570
O 0.315 0.218 0.066
O 0.318 0.787 0.062
O 0.393 0.502 0.919
O 0.419 0.201 0.330
O 0.422 0.806 0.332
O 0.493 0.501 0.184
O 0.668 0.309 0.749
O 0.668 0.697 0.749
O 0.687 0.005 0.162
O 0.771 0.291 0.018
O 0.772 0.715 0.014
O 0.814 0.290 0.516
O 0.818 0.716 0.516
O 0.886 0.003 0.662
O 0.912 0.314 0.249

Computed properties:
* space-group type: P1 (1)
* D(E_F): 0.00 states/eV/f.u.

=====

Most stable pick: <i>. Distance to second place: 7 meV per atom.

=====

<i>
# LaPS2N

Crystalline LaPS2N at its relaxed geometry (PBEsol, Alexandria via LeMat-Bulk).

Unit cell a=4.724 b=4.724 c=3.601 alpha=90.00 beta=90.00 gamma=90.00
Element x y z (fractional)
La 0.000 0.000 0.000
P 0.500 0.500 0.500
S 0.000 0.500 0.500
S 0.500 0.000 0.500
N 0.500 0.500 0.000

Computed properties:
* space-group type: P4/mmm (123)
* D(E_F): 1.79 states/eV/f.u.

=====

<ii>
# LaPS2N

Crystalline LaPS2N at its relaxed geometry (PBEsol, Alexandria via LeMat-Bulk).

Unit cell a=5.494 b=5.494 c=4.069 alpha=90.00 beta=90.00 gamma=90.00
Element x y z (fractional)
La 0.000 0.000 0.000
P 0.500 0.500 0.500
S 0.000 0.500 0.000
S 0.500 0.000 0.000
N 0.000 0.000 0.500

Computed properties:
* space-group type: P4/mmm (123)
* D(E_F): 5.60 states/eV/f.u.

=====

Most stable pick: <i>. Distance to second place: 1516 meV per atom.

=====

<i>
# LaTe2PN

Crystalline LaTe2PN at its relaxed geometry (PBEsol, Alexandria via LeMat-Bulk).

Unit cell a=5.787 b=5.787 c=3.371 alpha=90.00 beta=90.00 gamma=90.00
Element x y z (fractional)
La 0.000 0.000 0.000
Te 0.000 0.500 0.500
Te 0.500 0.000 0.500
P 0.500 0.500 0.500
N 0.500 0.500 0.000

Computed properties:
* space-group type: P4/mmm (123)
* D(E_F): 1.83 states/eV/f.u.

=====

<ii>
# LaTe2PN

Crystalline LaTe2PN at its relaxed geometry (PBEsol, Alexandria via LeMat-Bulk).

Unit cell a=6.167 b=6.167 c=4.009 alpha=90.00 beta=90.00 gamma=90.00
Element x y z (fractional)
La 0.000 0.000 0.000
Te 0.000 0.500 0.000
Te 0.500 0.000 0.000
P 0.500 0.500 0.500
N 0.000 0.000 0.500

Computed properties:
* space-group type: P4/mmm (123)
* D(E_F): 4.65 states/eV/f.u.

=====

Most stable pick: <i>. Distance to second place: 959 meV per atom.

=====

<i>
# LaPtS2N

Crystalline LaPtS2N at its relaxed geometry (PBEsol, Alexandria via LeMat-Bulk).

Unit cell a=4.903 b=4.903 c=3.759 alpha=90.00 beta=90.00 gamma=90.00
Element x y z (fractional)
La 0.000 0.000 0.000
Pt 0.500 0.500 0.500
S 0.000 0.500 0.500
S 0.500 0.000 0.500
N 0.500 0.500 0.000

Computed properties:
* space-group type: P4/mmm (123)
* D(E_F): 1.36 states/eV/f.u.

=====

<ii>
# LaPtS2N

Crystalline LaPtS2N at its relaxed geometry (PBEsol, Alexandria via LeMat-Bulk).

Unit cell a=5.423 b=5.423 c=4.019 alpha=90.00 beta=90.00 gamma=90.00
Element x y z (fractional)
La 0.000 0.000 0.000
Pt 0.500 0.500 0.500
S 0.000 0.500 0.000
S 0.500 0.000 0.000
N 0.000 0.000 0.500

Computed properties:
* space-group type: P4/mmm (123)
* D(E_F): 8.42 states/eV/f.u.

=====

Most stable pick: <i>. Distance to second place: 1686 meV per atom.

=====

<i>
# LaZnSeN2

Crystalline LaZnSeN2 at its relaxed geometry (PBEsol, Alexandria via LeMat-Bulk).

Unit cell a=4.087 b=4.087 c=6.313 alpha=90.00 beta=90.00 gamma=90.00
Element x y z (fractional)
La 0.000 0.000 0.000
Zn 0.500 0.500 0.500
Se 0.000 0.000 0.500
N 0.000 0.500 0.000
N 0.500 0.000 0.000

Computed properties:
* space-group type: P4/mmm (123)
* D(E_F): 1.50 states/eV/f.u.

=====

<ii>
# LaZnSeN2

Crystalline LaZnSeN2 at its relaxed geometry (PBEsol, Alexandria via LeMat-Bulk).

Unit cell a=4.128 b=4.128 c=4.682 alpha=90.00 beta=90.00 gamma=90.00
Element x y z (fractional)
La 0.000 0.000 0.000
Zn 0.500 0.500 0.500
Se 0.500 0.500 0.000
N 0.000 0.500 0.500
N 0.500 0.000 0.500

Computed properties:
* space-group type: P4/mmm (123)
* D(E_F): 3.49 states/eV/f.u.

=====

Most stable pick: <ii>. Distance to second place: 491 meV per atom.

=====

<i>
# LaTaTeN2

Crystalline LaTaTeN2 at its relaxed geometry (PBEsol, Alexandria via LeMat-Bulk).

Unit cell a=4.209 b=4.209 c=5.356 alpha=90.00 beta=90.00 gamma=90.00
Element x y z (fractional)
La 0.000 0.000 0.000
Ta 0.500 0.500 0.500
Te 0.500 0.500 0.000
N 0.000 0.500 0.500
N 0.500 0.000 0.500

Computed properties:
* space-group type: P4/mmm (123)
* D(E_F): 1.61 states/eV/f.u.

=====

<ii>
# LaTaTeN2

Crystalline LaTaTeN2 at its relaxed geometry (PBEsol, Alexandria via LeMat-Bulk).

Unit cell a=4.137 b=4.137 c=6.474 alpha=90.00 beta=90.00 gamma=90.00
Element x y z (fractional)
La 0.000 0.000 0.000
Ta 0.500 0.500 0.500
Te 0.000 0.000 0.500
N 0.000 0.500 0.000
N 0.500 0.000 0.000

Computed properties:
* space-group type: P4/mmm (123)
* D(E_F): 5.20 states/eV/f.u.

=====

Most stable pick: <i>. Distance to second place: 1711 meV per atom.

=====

<i>
# NaLaY3

Crystalline NaLaY3 at its relaxed geometry (PBEsol, Alexandria via LeMat-Bulk).

Unit cell a=5.543 b=5.543 c=5.543 alpha=90.00 beta=90.00 gamma=90.00
Element x y z (fractional)
Na 0.000 0.000 0.000
La 0.500 0.500 0.500
Y 0.000 0.000 0.500
Y 0.000 0.500 0.000
Y 0.500 0.000 0.000

Computed properties:
* space-group type: Pm-3m (221)
* D(E_F): 8.56 states/eV/f.u.

=====

<ii>
# NaLaY3

Crystalline NaLaY3 at its relaxed geometry (PBEsol, Alexandria via LeMat-Bulk).

Unit cell a=5.671 b=5.671 c=5.671 alpha=90.00 beta=90.00 gamma=90.00
Element x y z (fractional)
Na 0.000 0.000 0.000
La 0.500 0.500 0.500
Y 0.000 0.500 0.500
Y 0.500 0.000 0.500
Y 0.500 0.500 0.000

Computed properties:
* space-group type: Pm-3m (221)
* D(E_F): 5.86 states/eV/f.u.

=====

Most stable pick: <i>. Distance to second place: 21 meV per atom.